Record 1
A plane-wave DFT calculation with PBE-GGA was carried out for RbNaAc after structural relaxation.

Computed properties:
The calculation puts the formation energy at 62 kJ/mol of formula units. The crystal system is trigonal. Its total magnetization is 0.00 μB/f.u.

a b c (Å): 4.0487 4.0487 10.8622
angles (deg): 90.00 90.00 120.00
Space group P3m1 (No. 156)
Unique sites:
Rb  0.0000  0.0000  0.0000 x1
Na  0.3333  0.6667  0.6478 x1
Ac  0.6667  0.3333  0.3575 x1

---

Record 2
A plane-wave DFT calculation with PBE-GGA was carried out for Tb3DyTm7 after structural relaxation.

Computed properties:
The calculation puts the formation energy at 171 kJ/mol of formula units. The crystal system is monoclinic. Its total magnetization is 0.00 μB/f.u.

a b c (Å): 6.8533 5.4416 9.8553
angles (deg): 90.00 110.22 90.00
Space group P2/m (No. 10)
Unique sites:
Tb  0.0000  0.0000  0.0000 x1
Tb  0.2800  0.5000  0.4991 x2
Dy  0.5000  0.0000  0.0000 x1
Tm  0.0000  0.0000  0.5000 x1
Tm  0.1462  0.5000  0.7903 x2
Tm  0.3199  0.5000  0.1400 x2
Tm  0.4168  0.0000  0.3305 x2

---

Record 3
A plane-wave DFT calculation with PBE-GGA was carried out for YGa6Ni6 after structural relaxation.

Computed properties:
The calculation puts the formation energy at -602 kJ/mol of formula units. The crystal system is orthorhombic. Its total magnetization is 0.00 μB/f.u.

a b c (Å): 5.0264 8.2726 8.6971
angles (deg): 90.00 90.00 90.00
Space group Immm (No. 71)
Unique sites:
Y  0.0000  0.0000  0.0000 x2
Ga  0.0000  0.0000  0.3453 x4
Ga  0.0000  0.3429  0.0000 x4
Ga  0.0000  0.5000  0.3142 x4
Ni  0.0000  0.2621  0.5000 x4
Ni  0.2500  0.2500  0.2500 x8

---

Record 4
A plane-wave DFT calculation with PBE-GGA was carried out for HgBi2Pb4 after structural relaxation.

Computed properties:
The calculation puts the formation energy at 30 kJ/mol of formula units. The crystal system is monoclinic. Its total magnetization is 0.00 μB/f.u.

a b c (Å): 9.6850 13.7158 8.3832
angles (deg): 90.00 125.11 90.00
Space group Cc (No. 9)
Unique sites:
Hg  0.0000  0.1254  0.0000 x4
Bi  0.3079  0.3082  0.8669 x4
Bi  0.4422  0.0585  0.6339 x4
Pb  0.1622  0.2485  0.4083 x4
Pb  0.1647  0.0789  0.7471 x4
Pb  0.2543  0.4989  0.0916 x4
Pb  0.4182  0.1705  0.2527 x4

---

Record 5
A plane-wave DFT calculation with PBE-GGA was carried out for AcHoIn6 after structural relaxation.

Computed properties:
The calculation puts the formation energy at -302 kJ/mol of formula units. The crystal system is tetragonal. Its total magnetization is 0.00 μB/f.u.

a b c (Å): 4.7914 4.7914 9.5197
angles (deg): 90.00 90.00 90.00
Space group P4/mmm (No. 123)
Unique sites:
Ac  0.0000  0.0000  0.0000 x1
Ho  0.0000  0.0000  0.5000 x1
In  0.0000  0.5000  0.2641 x4
In  0.5000  0.5000  0.0000 x1
In  0.5000  0.5000  0.5000 x1

---

Record 6
A plane-wave DFT calculation with PBE-GGA was carried out for K2ScMn after structural relaxation.

Computed properties:
The calculation puts the formation energy at 365 kJ/mol of formula units. The crystal system is tetragonal. Its total magnetization is 5.17 μB/f.u.

a b c (Å): 3.3717 3.3717 12.3502
angles (deg): 90.00 90.00 90.00
Space group P4/mmm (No. 123)
Unique sites:
K  0.0000  0.0000  0.2299 x2
Sc  0.5000  0.5000  0.5000 x1
Mn  0.5000  0.5000  0.0000 x1

---

no.,calculated total energy (eV per atom)
1,-1.917
2,-4.365
3,-5.042
4,-3.226
5,-3.531
6,-3.479